A plane-wave DFT calculation with GGA-PBEsol was carried out for TiSbSN2 after structural relaxation.

Cell: 3.9100 3.9100 4.8690 Å, 90.00 90.00 90.00°
Space group P4/mmm (No. 123)
One atom of each set of equivalent atoms:
Ti1 0.0000 0.0000 0.0000 (multiplicity 1)
Sb1 0.5000 0.5000 0.5000 (multiplicity 1)
S1 0.0000 0.0000 0.5000 (multiplicity 1)
N1 0.0000 0.5000 0.0000 (multiplicity 2)

Summary:
Fermi-level density of states	1.8	states/eV per cell
formation energy from raw total energies	66.2	meV per atom
spin magnetization	0.000	μB/cell

---

A plane-wave DFT calculation with GGA-PBEsol was carried out for SbWSN2 after structural relaxation.

Cell: 3.9584 3.9584 4.8756 Å, 90.00 90.00 90.00°
Space group P4/mmm (No. 123)
One atom of each set of equivalent atoms:
Sb1 0.0000 0.0000 0.0000 (multiplicity 1)
W1 0.5000 0.5000 0.5000 (multiplicity 1)
S1 0.0000 0.0000 0.5000 (multiplicity 1)
N1 0.0000 0.5000 0.0000 (multiplicity 2)

Summary:
Fermi-level density of states	2.5	states/eV per cell
formation energy from raw total energies	1764.1	meV per atom
spin magnetization	2.605	μB/cell

---

A plane-wave DFT calculation with GGA-PBEsol was carried out for Sc4S3N2 after structural relaxation.

Cell: 11.9696 3.5510 9.0992 Å, 90.00 127.75 90.00°
Space group C2/m (No. 12)
One atom of each set of equivalent atoms:
Sc1 0.0635 0.0000 0.3516 (multiplicity 4)
Sc2 0.2341 0.5000 0.8501 (multiplicity 4)
S1 0.0000 0.5000 0.5000 (multiplicity 2)
S2 0.1760 0.5000 0.2823 (multiplicity 4)
N1 0.1401 0.0000 0.8648 (multiplicity 4)

Summary:
formation energy from raw total energies	-1966.6	meV per atom
spin magnetization	0.000	μB/cell

---

A plane-wave DFT calculation with GGA-PBEsol was carried out for Sc3SN after structural relaxation.

Cell: 4.2886 4.2886 4.2886 Å, 90.00 90.00 90.00°
Space group Pm-3m (No. 221)
One atom of each set of equivalent atoms:
Sc1 0.0000 0.0000 0.5000 (multiplicity 3)
S1 0.5000 0.5000 0.5000 (multiplicity 1)
N1 0.0000 0.0000 0.0000 (multiplicity 1)

Summary:
Fermi-level density of states	4.7	states/eV per cell
formation energy from raw total energies	-1101.5	meV per atom
spin magnetization	0.001	μB/cell

---

Record order is preserved below.
Ρ: 5.124; 7.948; 3.302; 3.809 g/cm3
Record order is preserved below.
E_tot: -33.99; -30.98; -148.65; -38.23 eV for the cell shown